BaLa2SnIr | the Alexandria database | GGA-PBE | relaxed; E_form = -184 kJ/mol of formula units; SG = No. 123; spin magnetization = 0.0 μB per formula unit; polymorph energy (0 for the lowest one) = 0.25 eV per formula unit
1.0
5.646 0.000 0.000
0.000 5.646 0.000
0.000 0.000 5.414
Ba La Sn Ir
1 2 1 1
Cartesian
0.000 0.000 0.000
0.000 2.823 2.707
2.823 0.000 2.707
2.823 2.823 0.000
2.823 2.823 2.707



BaLa2SnIr | the Alexandria database | GGA-PBE | relaxed; E_form = -208 kJ/mol of formula units; SG = No. 123; spin magnetization = 0.0 μB per formula unit; polymorph energy (0 for the lowest one) = 0.00 eV per formula unit
1.0
5.555 0.000 0.000
0.000 5.555 0.000
0.000 0.000 5.990
Ba La Sn Ir
1 2 1 1
Cartesian
0.000 0.000 0.000
0.000 2.778 2.995
2.778 0.000 2.995
2.778 2.778 0.000
0.000 0.000 2.995



Ba2SrLaIr | the Alexandria database | GGA-PBE | relaxed; E_form = -83 kJ/mol of formula units; SG = No. 123; spin magnetization = 0.0 μB per formula unit
1.0
6.417 0.000 0.000
0.000 6.417 0.000
0.000 0.000 5.560
Ba Sr La Ir
2 1 1 1
Cartesian
0.000 3.208 0.000
3.208 0.000 0.000
0.000 0.000 2.780
3.208 3.208 2.780
3.208 3.208 0.000



BaSr2LaIr | the Alexandria database | GGA-PBE | relaxed; E_form = -107 kJ/mol of formula units; SG = No. 123; spin magnetization = 0.0 μB per formula unit; polymorph energy (0 for the lowest one) = 0.00 eV per formula unit
1.0
6.164 0.000 0.000
0.000 6.164 0.000
0.000 0.000 5.570
Ba Sr La Ir
1 2 1 1
Cartesian
0.000 0.000 0.000
0.000 3.082 2.785
3.082 0.000 2.785
3.082 3.082 0.000
3.082 3.082 2.785



BaSr2LaIr | the Alexandria database | GGA-PBE | relaxed; E_form = 66 kJ/mol of formula units; SG = No. 123; spin magnetization = 0.0 μB per formula unit; polymorph energy (0 for the lowest one) = 1.79 eV per formula unit
1.0
5.921 0.000 0.000
0.000 5.921 0.000
0.000 0.000 6.084
Ba Sr La Ir
1 2 1 1
Cartesian
0.000 0.000 0.000
0.000 2.960 3.042
2.960 0.000 3.042
2.960 2.960 0.000
0.000 0.000 3.042



BaLa2TlIr | the Alexandria database | GGA-PBE | relaxed; E_form = -151 kJ/mol of formula units; SG = No. 123; spin magnetization = 0.0 μB per formula unit; polymorph energy (0 for the lowest one) = 0.00 eV per formula unit
1.0
5.570 0.000 0.000
0.000 5.570 0.000
0.000 0.000 6.178
Ba La Tl Ir
1 2 1 1
Cartesian
0.000 0.000 0.000
0.000 2.785 3.089
2.785 0.000 3.089
2.785 2.785 0.000
0.000 0.000 3.089